# 1
# Li2MgTaS PBE relaxed
data_Li2MgTaS
_space_group_name_H-M_alt 'P 4/m m m'
_space_group_IT_number 123
_space_group_name_Hall '-P 4 2'
_cell_length_a 5.0439
_cell_length_b 5.0439
_cell_length_c 5.4690
_cell_angle_alpha 90.00
_cell_angle_beta 90.00
_cell_angle_gamma 90.00
loop_
_atom_site_label
_atom_site_type_symbol
_atom_site_fract_x
_atom_site_fract_y
_atom_site_fract_z
_atom_site_occupancy
Li1 Li 0.0000 0.5000 0.0000 1
Mg1 Mg 0.0000 0.0000 0.5000 1
Ta1 Ta 0.0000 0.0000 0.0000 1
S1 S 0.5000 0.5000 0.5000 1
# - Formation energy without anion corrections: 7.06 eV/f.u.
# - Uncorrected energy: -2.868 eV/atom
# - Magnetization: 4.82 μB/f.u.
# - V: 139.1 Å³ per cell

---

# 2
# Ti3CI PBE relaxed
data_Ti3CI
_space_group_name_H-M_alt 'P m -3 m'
_space_group_IT_number 221
_space_group_name_Hall '-P 4 2 3'
_cell_length_a 4.9966
_cell_length_b 4.9966
_cell_length_c 4.9966
_cell_angle_alpha 90.00
_cell_angle_beta 90.00
_cell_angle_gamma 90.00
loop_
_atom_site_label
_atom_site_type_symbol
_atom_site_fract_x
_atom_site_fract_y
_atom_site_fract_z
_atom_site_occupancy
Ti1 Ti 0.0000 0.0000 0.5000 1
C1 C 0.5000 0.5000 0.5000 1
I1 I 0.0000 0.0000 0.0000 1
# - Formation energy without anion corrections: 11.40 eV/f.u.
# - Uncorrected energy: -4.612 eV/atom
# - Energy above the most stable polymorph in this dataset: 11.30 eV/f.u.
# - Magnetization: 4.88 μB/f.u.
# - V: 124.7 Å³ per cell

---

# 3
# Mg3SbN PBE relaxed
data_Mg3SbN
_space_group_name_H-M_alt 'P -1'
_space_group_IT_number 2
_cell_length_a 3.3123
_cell_length_b 7.3855
_cell_length_c 8.0953
_cell_angle_alpha 97.48
_cell_angle_beta 100.56
_cell_angle_gamma 90.06
loop_
_space_group_symop_operation_xyz
'x,y,z'
'-x,-y,-z'
loop_
_atom_site_label
_atom_site_type_symbol
_atom_site_fract_x
_atom_site_fract_y
_atom_site_fract_z
_atom_site_occupancy
Mg1 Mg 0.1147 0.3754 0.1985 1
Mg2 Mg 0.2740 0.3588 0.5542 1
Mg3 Mg 0.3211 0.9384 0.6582 1
Sb1 Sb 0.0946 0.7744 0.1538 1
N1 N 0.3118 0.6527 0.6359 1
# - Formation energy without anion corrections: -2.31 eV/f.u.
# - Uncorrected energy: -3.909 eV/atom
# - Magnetization: 0.00 μB/f.u.
# - V: 193.0 Å³ per cell

---

# 4
# Ce3ErTm2S6 PBE relaxed
data_Ce3ErTm2S6
_space_group_name_H-M_alt 'C 1 2/m 1'
_space_group_IT_number 12
_cell_length_a 6.7587
_cell_length_b 11.7138
_cell_length_c 6.9272
_cell_angle_alpha 90.00
_cell_angle_beta 109.02
_cell_angle_gamma 90.00
loop_
_space_group_symop_operation_xyz
'x,y,z'
'-x,-y,-z'
'-x,y,-z'
'x,-y,z'
'x+1/2,y+1/2,z'
'-x+1/2,-y+1/2,-z'
'-x+1/2,y+1/2,-z'
'x+1/2,-y+1/2,z'
loop_
_atom_site_label
_atom_site_type_symbol
_atom_site_fract_x
_atom_site_fract_y
_atom_site_fract_z
_atom_site_occupancy
Ce1 Ce 0.0000 0.0000 0.0000 1
Ce2 Ce 0.0000 0.3338 0.0000 1
Er1 Er 0.0000 0.5000 0.5000 1
Tm1 Tm 0.0000 0.1667 0.5000 1
S1 S 0.2429 0.0000 0.7324 1
S2 S 0.2449 0.3327 0.7329 1
# - Formation energy without anion corrections: -24.10 eV/f.u.
# - Uncorrected energy: -6.681 eV/atom
# - Magnetization: 2.47 μB/f.u.
# - V: 518.5 Å³ per cell

---

# 5
# Ac2LaIn PBE relaxed
data_Ac2LaIn
_space_group_name_H-M_alt 'P 1 21/m 1'
_space_group_IT_number 11
_cell_length_a 7.2188
_cell_length_b 5.6492
_cell_length_c 7.5989
_cell_angle_alpha 90.00
_cell_angle_beta 104.24
_cell_angle_gamma 90.00
loop_
_space_group_symop_operation_xyz
'x,y,z'
'-x,-y,-z'
'-x,y+1/2,-z'
'x,-y+1/2,z'
loop_
_atom_site_label
_atom_site_type_symbol
_atom_site_fract_x
_atom_site_fract_y
_atom_site_fract_z
_atom_site_occupancy
Ac1 Ac 0.1501 0.2500 0.4135 1
Ac2 Ac 0.1599 0.2500 0.9149 1
La1 La 0.3925 0.7500 0.2250 1
In1 In 0.3642 0.7500 0.7140 1
# - Uncorrected energy: -4.182 eV/atom
# - Formation enthalpy at 0 K: -0.21 eV per atom
# - Energy above the most stable polymorph in this dataset: 0.00 eV/f.u.
# - Magnetization: 0.00 μB/f.u.
# - V: 300.4 Å³ per cell

---

# 6
# Pr2Tm7Th2 PBE relaxed
data_Pr2Tm7Th2
_space_group_name_H-M_alt 'C 1 2/m 1'
_space_group_IT_number 12
_cell_length_a 11.1088
_cell_length_b 11.4658
_cell_length_c 6.1085
_cell_angle_alpha 90.00
_cell_angle_beta 113.93
_cell_angle_gamma 90.00
loop_
_space_group_symop_operation_xyz
'x,y,z'
'-x,-y,-z'
'-x,y,-z'
'x,-y,z'
'x+1/2,y+1/2,z'
'-x+1/2,-y+1/2,-z'
'-x+1/2,y+1/2,-z'
'x+1/2,-y+1/2,z'
loop_
_atom_site_label
_atom_site_type_symbol
_atom_site_fract_x
_atom_site_fract_y
_atom_site_fract_z
_atom_site_occupancy
Pr1 Pr 0.0000 0.2099 0.0000 1
Tm1 Tm 0.0000 0.0000 0.5000 1
Tm2 Tm 0.1709 0.2394 0.6696 1
Tm3 Tm 0.2459 0.0000 0.0737 1
Th1 Th 0.0947 0.5000 0.3162 1
# - Uncorrected energy: -4.878 eV/atom
# - Formation enthalpy at 0 K: 0.19 eV per atom
# - Magnetization: 0.00 μB/f.u.
# - V: 711.2 Å³ per cell

---

# 7
# PmZrHg4 PBE relaxed
data_PmZrHg4
_space_group_name_H-M_alt 'C 1 2/m 1'
_space_group_IT_number 12
_cell_length_a 8.5907
_cell_length_b 4.9602
_cell_length_c 6.6125
_cell_angle_alpha 90.00
_cell_angle_beta 90.09
_cell_angle_gamma 90.00
loop_
_space_group_symop_operation_xyz
'x,y,z'
'-x,-y,-z'
'-x,y,-z'
'x,-y,z'
'x+1/2,y+1/2,z'
'-x+1/2,-y+1/2,-z'
'-x+1/2,y+1/2,-z'
'x+1/2,-y+1/2,z'
loop_
_atom_site_label
_atom_site_type_symbol
_atom_site_fract_x
_atom_site_fract_y
_atom_site_fract_z
_atom_site_occupancy
Pm1 Pm 0.0000 0.0000 0.0000 1
Zr1 Zr 0.0000 0.0000 0.5000 1
Hg1 Hg 0.1667 0.5000 0.2642 1
Hg2 Hg 0.1666 0.5000 0.7358 1
# - Uncorrected energy: -2.630 eV/atom
# - Formation enthalpy at 0 K: -0.21 eV per atom
# - Magnetization: 0.00 μB/f.u.
# - V: 281.8 Å³ per cell

---

# 8
# MgGaS2 PBE relaxed
data_MgGaS2
_space_group_name_H-M_alt 'R -3 m'
_space_group_IT_number 166
_space_group_name_Hall '-R 3 2"'
_cell_length_a 3.8570
_cell_length_b 3.8570
_cell_length_c 21.2831
_cell_angle_alpha 90.00
_cell_angle_beta 90.00
_cell_angle_gamma 120.00
loop_
_atom_site_label
_atom_site_type_symbol
_atom_site_fract_x
_atom_site_fract_y
_atom_site_fract_z
_atom_site_occupancy
Mg1 Mg 0.0000 0.0000 0.0000 1
Ga1 Ga 0.0000 0.0000 0.5000 1
S1 S 0.0000 0.0000 0.3947 1
# - Formation energy without anion corrections: -2.28 eV/f.u.
# - Uncorrected energy: -3.789 eV/atom
# - Magnetization: 0.00 μB/f.u.
# - V: 274.2 Å³ per cell

---

Please write out number 6 again, unchanged.
# Pr2Tm7Th2 PBE relaxed
data_Pr2Tm7Th2
_space_group_name_H-M_alt 'C 1 2/m 1'
_space_group_IT_number 12
_cell_length_a 11.1088
_cell_length_b 11.4658
_cell_length_c 6.1085
_cell_angle_alpha 90.00
_cell_angle_beta 113.93
_cell_angle_gamma 90.00
loop_
_space_group_symop_operation_xyz
'x,y,z'
'-x,-y,-z'
'-x,y,-z'
'x,-y,z'
'x+1/2,y+1/2,z'
'-x+1/2,-y+1/2,-z'
'-x+1/2,y+1/2,-z'
'x+1/2,-y+1/2,z'
loop_
_atom_site_label
_atom_site_type_symbol
_atom_site_fract_x
_atom_site_fract_y
_atom_site_fract_z
_atom_site_occupancy
Pr1 Pr 0.0000 0.2099 0.0000 1
Tm1 Tm 0.0000 0.0000 0.5000 1
Tm2 Tm 0.1709 0.2394 0.6696 1
Tm3 Tm 0.2459 0.0000 0.0737 1
Th1 Th 0.0947 0.5000 0.3162 1
# - Uncorrected energy: -4.878 eV/atom
# - Formation enthalpy at 0 K: 0.19 eV per atom
# - Magnetization: 0.00 μB/f.u.
# - V: 711.2 Å³ per cell